Computed, not measured: a geometry-optimized InPtI2 structure at the PBE level of DFT.

Summary:
calculated total energy	-2.51	eV/atom
Fermi-level density of states	6.58	states/eV/f.u.
calculated volume	27.08	Å³/atom
raw formation energy	463	meV/atom

a b c (Å): 7.567 7.567 7.567
angles (deg): 90.00 90.00 90.00
Space group Fm-3m (No. 225)
Symmetry-distinct sites (fractional):
In (0.000, 0.000, 0.000)
Pt (0.000, 0.000, 0.500)
I (0.250, 0.250, 0.250)


Computed, not measured: a geometry-optimized InPtI3 structure at the PBE level of DFT.

Summary:
calculated total energy	-2.84	eV/atom
Fermi-level density of states	1.11	states/eV/f.u.
calculated volume	34.38	Å³/atom
raw formation energy	-153	meV/atom

a b c (Å): 5.560 5.560 5.560
angles (deg): 90.00 90.00 90.00
Space group Pm-3m (No. 221)
Symmetry-distinct sites (fractional):
In (0.000, 0.000, 0.000)
Pt (0.500, 0.500, 0.500)
I (0.000, 0.500, 0.500)


Computed, not measured: a geometry-optimized InPtI2 structure at the PBE level of DFT.

Summary:
calculated total energy	-3.10	eV/atom
Fermi-level density of states	1.13	states/eV/f.u.
calculated volume	38.90	Å³/atom
raw formation energy	-133	meV/atom

a b c (Å): 10.829 10.829 5.308
angles (deg): 90.00 90.00 90.00
Space group I-42d (No. 122)
Symmetry-distinct sites (fractional):
In (0.000, 0.000, 0.000)
Pt (0.000, 0.000, 0.500)
I (0.049, 0.250, 0.625)


Computed, not measured: a geometry-optimized InPtI structure at the PBE level of DFT.

Summary:
calculated total energy	-3.59	eV/atom
Fermi-level density of states	1.08	states/eV/f.u.
calculated volume	27.44	Å³/atom
raw formation energy	-144	meV/atom

a b c (Å): 12.466 4.064 7.561
angles (deg): 90.00 120.72 90.00
Space group C2/m (No. 12)
Symmetry-distinct sites (fractional):
In (0.149, 0.000, 0.345)
Pt (0.247, 0.500, 0.242)
I (0.100, 0.500, 0.804)


Copy entry 3 word for word.
Computed, not measured: a geometry-optimized InPtI2 structure at the PBE level of DFT.

Summary:
calculated total energy	-3.10	eV/atom
Fermi-level density of states	1.13	states/eV/f.u.
calculated volume	38.90	Å³/atom
raw formation energy	-133	meV/atom

a b c (Å): 10.829 10.829 5.308
angles (deg): 90.00 90.00 90.00
Space group I-42d (No. 122)
Symmetry-distinct sites (fractional):
In (0.000, 0.000, 0.000)
Pt (0.000, 0.000, 0.500)
I (0.049, 0.250, 0.625)